Record 1
VASP calculation (PBE) on a relaxed ZnAg2As crystal.

The structure in POSCAR format:
```
ZnAg2As
1.0
0.515 0.972 4.535
1.691 4.144 1.321
-2.802 3.117 2.051
As Zn Ag
1 1 2
Direct
0.500 0.500 0.500 As
0.000 0.000 0.000 Zn
0.250 0.250 0.250 Ag
0.750 0.750 0.750 Ag
```

Output
**Excess energy over the best structure of this formula in the dataset**: 0.096 eV/atom
**Final energy**: -10.95 eV/cell
**SG**: Fm-3m

=====

Record 2
VASP calculation (PBE) on a relaxed Zn2AgAs2 crystal.

The structure in POSCAR format:
```
Zn2AgAs2
1.0
3.874 0.000 0.000
0.000 3.874 0.000
1.937 1.937 6.579
As Zn Ag
2 2 1
Direct
0.380 0.380 0.240 As
0.620 0.620 0.760 As
0.750 0.250 0.500 Zn
0.250 0.750 0.500 Zn
0.000 0.000 0.000 Ag
```

Output
**Excess energy over the best structure of this formula in the dataset**: 0.000 eV/atom
**Final energy**: -13.97 eV/cell
**SG**: I4/mmm

=====

Record 3
VASP calculation (PBE) on a relaxed Zn2AgAs crystal.

The structure in POSCAR format:
```
Zn2AgAs
1.0
-2.169 0.503 -4.064
0.170 -3.392 -3.153
-3.794 -2.495 -0.926
Ag As Zn
1 1 2
Direct
0.500 0.500 0.500 Ag
0.250 0.250 0.250 As
0.000 0.000 0.000 Zn
0.750 0.750 0.750 Zn
```

Output
**Final energy**: -9.40 eV/cell
**SG**: F-43m

=====

Record 4
VASP calculation (PBE) on a relaxed Zn2AgAs crystal.

The structure in POSCAR format:
```
Zn2AgAs
1.0
-2.436 -2.644 0.451
2.056 -1.449 2.608
-2.510 2.927 3.606
Ag As Zn
1 1 2
Direct
0.500 0.500 0.250 Ag
0.500 0.500 0.750 As
0.000 0.000 0.996 Zn
0.000 0.000 0.504 Zn
```

Output
**Final energy**: -9.69 eV/cell
**SG**: P4/mmm

=====

Record 5
VASP calculation (PBE) on a relaxed Zn2AgAs2 crystal.

The structure in POSCAR format:
```
Zn2AgAs2
1.0
4.052 0.000 0.000
0.000 4.052 0.000
2.026 2.026 5.907
As Zn Ag
2 2 1
Direct
0.750 0.250 0.500 As
0.250 0.750 0.500 As
0.399 0.399 0.203 Zn
0.601 0.601 0.797 Zn
0.000 0.000 0.000 Ag
```

Output
**Excess energy over the best structure of this formula in the dataset**: 0.076 eV/atom
**Final energy**: -13.59 eV/cell
**SG**: I4/mmm

=====

Record 6
VASP calculation (PBE) on a relaxed Zn2AgAs crystal.

The structure in POSCAR format:
```
Zn2AgAs
1.0
5.071 0.083 -0.179
4.159 2.902 -0.179
0.527 0.170 4.780
Ag As Zn
1 1 2
Direct
0.750 0.750 0.750 Ag
0.250 0.250 0.250 As
0.005 0.005 0.994 Zn
0.495 0.495 0.506 Zn
```

Output
**Final energy**: -9.56 eV/cell
**SG**: C2/m

=====

Record 7
VASP calculation (PBE) on a relaxed Zn2AgAs crystal.

The structure in POSCAR format:
```
Zn2AgAs
1.0
-1.260 2.665 8.582
0.421 0.254 9.061
1.708 2.867 8.438
Ag As Zn
1 1 2
Direct
0.250 0.250 0.250 Ag
0.750 0.750 0.750 As
0.999 0.999 0.999 Zn
0.501 0.501 0.501 Zn
```

Output
**Final energy**: -9.62 eV/cell
**SG**: R-3m

=====

Record 8
VASP calculation (PBE) on a relaxed ZnAg4As crystal.

The structure in POSCAR format:
```
ZnAg4As
1.0
0.000 3.872 3.872
3.872 0.000 3.872
3.872 3.872 0.000
Zn Ag As
1 4 1
Direct
0.000 0.000 0.000 Zn
0.625 0.625 0.124 Ag
0.625 0.124 0.625 Ag
0.625 0.625 0.625 Ag
0.124 0.625 0.625 Ag
0.250 0.250 0.250 As
```

Output
**Final energy**: -15.64 eV/cell
**SG**: F-43m

=====

Record 9
VASP calculation (PBE) on a relaxed ZnAg2As crystal.

The structure in POSCAR format:
```
ZnAg2As
1.0
4.798 0.025 0.033
3.847 2.868 0.033
0.923 0.309 5.192
Ag As Zn
2 1 1
Direct
0.995 0.995 0.012 Ag
0.505 0.505 0.488 Ag
0.750 0.750 0.750 As
0.250 0.250 0.250 Zn
```

Output
**Excess energy over the best structure of this formula in the dataset**: 0.009 eV/atom
**Final energy**: -11.30 eV/cell
**SG**: C2/m

=====

Record 10
VASP calculation (PBE) on a relaxed Zn2AgAs2 crystal.

The structure in POSCAR format:
```
Zn2AgAs2
1.0
-3.805 -4.610 4.537
-0.941 -4.814 -5.680
2.861 -1.542 0.833
As Zn Ag
4 4 2
Direct
0.314 0.814 0.000 As
0.814 0.686 0.000 As
0.686 0.186 0.000 As
0.186 0.314 0.000 As
0.123 0.623 0.500 Zn
0.623 0.877 0.500 Zn
0.877 0.377 0.500 Zn
0.377 0.123 0.500 Zn
0.000 0.000 0.000 Ag
0.500 0.500 0.000 Ag
```

Output
**Excess energy over the best structure of this formula in the dataset**: 0.027 eV/atom
**Final energy**: -27.68 eV/cell
**SG**: P4/mbm

=====

Record 11
VASP calculation (PBE) on a relaxed ZnAg2As crystal.

The structure in POSCAR format:
```
ZnAg2As
1.0
-5.329 6.708 3.046
-6.518 6.332 0.296
-7.419 4.578 2.582
Ag As Zn
2 1 1
Direct
0.003 0.003 0.003 Ag
0.497 0.497 0.497 Ag
0.250 0.250 0.250 As
0.750 0.750 0.750 Zn
```

Output
**Excess energy over the best structure of this formula in the dataset**: 0.046 eV/atom
**Final energy**: -11.15 eV/cell
**SG**: R-3m

=====

Record 12
VASP calculation (PBE) on a relaxed Zn2AgAs crystal.

The structure in POSCAR format:
```
Zn2AgAs
1.0
3.942 0.000 0.000
0.000 2.992 -0.022
0.000 0.029 6.088
Ag As Zn
1 1 2
Direct
0.500 0.250 0.250 Ag
0.500 0.750 0.750 As
0.000 0.750 0.028 Zn
0.000 0.750 0.472 Zn
```

Output
**Final energy**: -9.67 eV/cell
**SG**: P2/m

=====

Record 13
VASP calculation (PBE) on a relaxed Zn2Ag2As crystal.

The structure in POSCAR format:
```
Zn2Ag2As
1.0
-2.074 -2.938 6.919
7.394 -2.088 1.330
0.502 2.570 1.242
As Zn Ag
2 4 4
Direct
0.000 0.000 0.000 As
0.500 0.500 0.000 As
0.168 0.668 0.500 Zn
0.668 0.832 0.500 Zn
0.832 0.332 0.500 Zn
0.332 0.168 0.500 Zn
0.369 0.869 0.000 Ag
0.869 0.631 0.000 Ag
0.631 0.131 0.000 Ag
0.131 0.369 0.000 Ag
```

Output
**Excess energy over the best structure of this formula in the dataset**: 0.000 eV/atom
**Final energy**: -24.56 eV/cell
**SG**: P4/mbm

=====

Record 14
VASP calculation (PBE) on a relaxed Zn2AgAs crystal.

The structure in POSCAR format:
```
Zn2AgAs
1.0
-0.204 -3.329 1.263
3.555 -0.117 0.268
-0.320 1.949 5.086
Ag As Zn
1 1 2
Direct
0.000 0.000 0.477 Ag
0.500 0.500 0.775 As
0.000 0.000 0.991 Zn
0.500 0.500 0.258 Zn
```

Output
**Final energy**: -9.66 eV/cell
**SG**: P4mm

=====

Record 15
VASP calculation (PBE) on a relaxed Zn2AgAs2 crystal.

The structure in POSCAR format:
```
Zn2AgAs2
1.0
7.398 0.000 0.000
0.000 7.398 0.000
0.000 0.000 3.305
As Zn Ag
4 4 2
Direct
0.180 0.680 0.500 As
0.680 0.820 0.500 As
0.820 0.320 0.500 As
0.320 0.180 0.500 As
0.374 0.874 0.000 Zn
0.874 0.626 0.000 Zn
0.626 0.126 0.000 Zn
0.126 0.374 0.000 Zn
0.000 0.000 0.000 Ag
0.500 0.500 0.000 Ag
```

Output
**Excess energy over the best structure of this formula in the dataset**: 0.060 eV/atom
**Final energy**: -27.34 eV/cell
**SG**: P4/mbm

=====

Record 16
VASP calculation (PBE) on a relaxed ZnAg2As crystal.

The structure in POSCAR format:
```
ZnAg2As
1.0
-3.132 2.556 0.940
-1.333 -2.674 2.827
2.347 1.831 2.838
As Zn Ag
1 1 2
Direct
0.500 0.500 0.500 As
0.500 0.000 0.000 Zn
0.000 0.000 0.500 Ag
0.000 0.500 0.000 Ag
```

Output
**Excess energy over the best structure of this formula in the dataset**: 0.000 eV/atom
**Final energy**: -11.34 eV/cell
**SG**: P4/mmm

=====

Record 17
VASP calculation (PBE) on a relaxed ZnAg3As crystal.

The structure in POSCAR format:
```
ZnAg3As
1.0
5.012 0.000 0.000
0.000 5.012 0.000
0.000 0.000 5.012
As Zn Ag
1 1 3
Direct
0.000 0.000 0.000 As
0.500 0.500 0.500 Zn
0.000 0.500 0.000 Ag
0.000 0.000 0.500 Ag
0.500 0.000 0.000 Ag
```

Output
**Excess energy over the best structure of this formula in the dataset**: 0.000 eV/atom
**Final energy**: -12.68 eV/cell
**SG**: Pm-3m

=====

Record 18
VASP calculation (PBE) on a relaxed ZnAg2As crystal.

The structure in POSCAR format:
```
ZnAg2As
1.0
4.068 0.000 0.000
0.000 4.068 0.000
2.034 2.034 9.149
As Zn Ag
2 2 4
Direct
0.000 0.000 0.000 As
0.750 0.250 0.500 As
0.500 0.500 0.000 Zn
0.250 0.750 0.500 Zn
0.625 0.125 0.250 Ag
0.125 0.625 0.250 Ag
0.375 0.375 0.750 Ag
0.875 0.875 0.750 Ag
```

Output
**Excess energy over the best structure of this formula in the dataset**: 0.074 eV/atom
**Final energy**: -22.08 eV/cell
**SG**: I-42d

=====

Record 19
VASP calculation (PBE) on a relaxed Zn2AgAs crystal.

The structure in POSCAR format:
```
Zn2AgAs
1.0
-1.700 2.755 -3.249
-2.478 -0.048 -3.860
-5.058 0.972 1.973
Ag As Zn
1 1 2
Direct
0.495 0.495 0.530 Ag
0.255 0.255 0.238 As
0.003 0.003 0.974 Zn
0.747 0.747 0.757 Zn
```

Output
**Final energy**: -9.70 eV/cell
**SG**: Cm

=====

Record 20
VASP calculation (PBE) on a relaxed ZnAg2As crystal.

The structure in POSCAR format:
```
ZnAg2As
1.0
-2.238 4.273 -1.726
-5.088 -0.198 0.564
3.925 -0.824 3.188
Ag As Zn
2 1 1
Direct
0.000 0.000 0.000 Ag
0.500 0.500 0.000 Ag
0.750 0.250 0.500 As
0.250 0.750 0.500 Zn
```

Output
**Excess energy over the best structure of this formula in the dataset**: 0.031 eV/atom
**Final energy**: -11.21 eV/cell
**SG**: Immm